Version one
Material: Re3AsW
Method: DFT, PBE
State: relaxed

It has space group Pm-3m (No. 221), with a = 4.752 Å, b = 4.752 Å, c = 4.752 Å, α = 90.00°, β = 90.00° and γ = 90.00°. The distinct sites, in fractional coordinates, are Re at (0.000, 0.000, 0.500), As at (0.500, 0.500, 0.500) and W at (0.000, 0.000, 0.000).

The calculation puts the density at 12.65 Mg/m³. For the spin magnetization, the calculation gives 1.3 μB/f.u.


Version two
Material: Re3AsW
Method: DFT, PBE
State: relaxed

It has space group Pm-3m (No. 221), with a = 4.465 Å, b = 4.465 Å, c = 4.465 Å, α = 90.00°, β = 90.00° and γ = 90.00°. The distinct sites, in fractional coordinates, are Re at (0.000, 0.000, 0.500), As at (0.000, 0.000, 0.000) and W at (0.500, 0.500, 0.500).

The calculation puts the density at 15.25 Mg/m³. For the spin magnetization, the calculation gives 0.0 μB/f.u.


Stability ranking, top entry: version two; the second entry is 644 meV per atom less favorable.